(1)
Material: SbRuRh2
Method: DFT, GGA-PBE
State: relaxed

The structure in extended XYZ format:
```
4
Lattice="3.944 0.000 0.000 0.000 3.944 0.000 0.000 0.000 3.994" Properties=species:S:1:pos:R:3 pbc="T T T"
Rh 0.000 0.000 0.000
Sb 0.000 1.972 1.997
Ru 1.972 0.000 1.997
Rh 1.972 1.972 0.000
```

Properties
Calculated total energy: -7.102 eV per atom
Formation energy without anion corrections: -0.077 eV/atom
Volume: 15.53 A^3/atom



(2)
Material: Sb8RuRh2
Method: DFT, GGA-PBE
State: relaxed

The structure in extended XYZ format:
```
11
Lattice="5.187 0.014 0.024 0.004 7.703 -4.448 0.115 -0.665 7.744" Properties=species:S:1:pos:R:3 pbc="T T T"
Sb 1.675 4.894 3.333
Sb 4.014 2.660 4.592
Ru 5.301 -0.651 7.768
Rh 3.941 4.689 -0.771
Sb 3.754 5.982 1.468
Rh 1.364 2.362 4.092
Sb 3.630 2.158 -0.012
Sb 1.671 0.441 5.908
Sb 3.634 6.611 -2.587
Sb 1.551 1.070 1.853
Sb 1.291 4.392 -1.271
```

Properties
Calculated total energy: -5.251 eV per atom
Formation energy without anion corrections: -0.073 eV/atom
Volume: 26.73 A^3/atom



(3)
Material: SbRu2Rh
Method: DFT, GGA-PBE
State: relaxed

The structure in extended XYZ format:
```
4
Lattice="4.493 0.000 0.000 0.000 4.493 0.000 0.000 0.000 3.092" Properties=species:S:1:pos:R:3 pbc="T T T"
Sb 2.247 0.000 1.546
Rh 0.000 2.247 1.546
Ru 2.247 2.247 0.000
Ru 0.000 0.000 0.000
```

Properties
Calculated total energy: -7.326 eV per atom
Formation energy without anion corrections: 0.181 eV/atom
Volume: 15.61 A^3/atom



(4)
Material: SbRu2Rh2
Method: DFT, GGA-PBE
State: relaxed

The structure in extended XYZ format:
```
10
Lattice="7.565 0.000 0.000 0.000 7.565 0.000 0.000 0.000 2.836" Properties=species:S:1:pos:R:3 pbc="T T T"
Rh 6.634 4.714 0.000
Sb 3.783 3.783 0.000
Rh 4.714 0.931 0.000
Sb 0.000 0.000 0.000
Ru 2.486 1.297 1.418
Ru 6.269 2.486 1.418
Rh 0.931 2.851 0.000
Ru 1.297 5.079 1.418
Rh 2.851 6.634 0.000
Ru 5.079 6.269 1.418
```

Properties
Calculated total energy: -7.114 eV per atom
Formation energy without anion corrections: 0.361 eV/atom
Volume: 16.23 A^3/atom
Polymorph energy (0 for the lowest one): 0.080 eV per atom



(5)
Material: SbRu2Rh
Method: DFT, GGA-PBE
State: relaxed

The structure in extended XYZ format:
```
4
Lattice="-3.215 -3.239 1.258 0.947 -1.068 4.514 -0.625 4.233 -2.026" Properties=species:S:1:pos:R:3 pbc="T T T"
Ru -2.268 -4.307 5.772
Rh -0.406 0.505 2.687
Ru -1.134 -2.154 2.887
Sb -2.487 -0.580 1.059
```

Properties
Calculated total energy: -7.485 eV per atom
Formation energy without anion corrections: 0.022 eV/atom
Volume: 15.40 A^3/atom



(6)
Material: Sb3RuRh
Method: DFT, GGA-PBE
State: relaxed

The structure in extended XYZ format:
```
5
Lattice="-2.293 -1.668 -4.158 4.267 0.609 -2.598 1.364 -4.709 1.137" Properties=species:S:1:pos:R:3 pbc="T T T"
Ru 0.000 0.000 0.000
Sb -1.146 -0.834 -2.079
Sb 0.682 -2.354 0.569
Rh 1.669 -2.884 -2.809
Sb 2.134 0.304 -1.299
```

Properties
Calculated total energy: -5.075 eV per atom
Formation energy without anion corrections: 0.723 eV/atom
Volume: 25.49 A^3/atom
Polymorph energy (0 for the lowest one): 0.000 eV per atom



(7)
Material: SbRuRh2
Method: DFT, GGA-PBE
State: relaxed

The structure in extended XYZ format:
```
4
Lattice="3.863 0.000 0.000 0.000 2.925 0.130 0.000 2.662 5.718" Properties=species:S:1:pos:R:3 pbc="T T T"
Sb 1.932 4.191 4.386
Ru 1.932 1.397 1.462
Rh 0.000 2.917 0.218
Rh 0.000 2.803 2.836
```

Properties
Calculated total energy: -6.976 eV per atom
Formation energy without anion corrections: 0.049 eV/atom
Volume: 15.82 A^3/atom



(8)
Material: SbRuRh2
Method: DFT, GGA-PBE
State: relaxed

The structure in extended XYZ format:
```
4
Lattice="-2.419 1.941 -3.624 -3.474 -0.773 -3.176 -3.890 1.872 2.176" Properties=species:S:1:pos:R:3 pbc="T T T"
Sb -7.388 2.299 -3.466
Ru -4.771 1.472 -2.318
Rh -0.046 0.010 -0.047
Rh -2.471 0.778 -1.105
```

Properties
Calculated total energy: -7.023 eV per atom
Formation energy without anion corrections: 0.002 eV/atom
Volume: 15.70 A^3/atom



(9)
Material: SbRuRh2
Method: DFT, GGA-PBE
State: relaxed

The structure in extended XYZ format:
```
4
Lattice="-4.712 -0.171 -0.700 -3.355 -0.400 -3.362 -0.726 -4.664 0.032" Properties=species:S:1:pos:R:3 pbc="T T T"
Ru -2.198 -1.309 -1.008
Sb -6.595 -3.927 -3.023
Rh -8.070 -0.636 -4.058
Rh -4.394 -2.553 -2.019
```

Properties
Calculated total energy: -7.030 eV per atom
Formation energy without anion corrections: -0.005 eV/atom
Volume: 15.69 A^3/atom



(10)
Material: SbRuRh2
Method: DFT, GGA-PBE
State: relaxed

The structure in extended XYZ format:
```
4
Lattice="4.733 0.002 0.000 1.256 4.563 0.000 -2.994 -2.282 2.868" Properties=species:S:1:pos:R:3 pbc="T T T"
Rh 0.628 2.281 1.434
Sb 2.366 0.001 1.434
Rh 0.000 0.000 0.000
Ru 2.994 2.282 0.000
```

Properties
Calculated total energy: -7.118 eV per atom
Formation energy without anion corrections: -0.093 eV/atom
Volume: 15.48 A^3/atom



(11)
Material: SbRuRh2
Method: DFT, GGA-PBE
State: relaxed

The structure in extended XYZ format:
```
4
Lattice="-2.210 -3.681 1.212 1.787 -4.021 -0.742 1.466 -2.456 3.425" Properties=species:S:1:pos:R:3 pbc="T T T"
Ru 0.521 -5.079 1.948
Rh 0.000 0.000 0.000
Rh 0.781 -7.619 2.922
Sb 0.260 -2.540 0.974
```

Properties
Calculated total energy: -6.997 eV per atom
Formation energy without anion corrections: 0.028 eV/atom
Volume: 15.70 A^3/atom



(12)
Material: SbRuRh2
Method: DFT, GGA-PBE
State: relaxed

The structure in extended XYZ format:
```
4
Lattice="-5.201 5.792 3.977 -7.233 3.915 2.962 -5.877 3.375 5.522" Properties=species:S:1:pos:R:3 pbc="T T T"
Rh -9.167 6.550 6.239
Sb -13.733 9.812 9.346
Ru -4.578 3.271 3.115
Rh -18.299 13.074 12.454
```

Properties
Calculated total energy: -6.773 eV per atom
Formation energy without anion corrections: 0.252 eV/atom
Volume: 16.13 A^3/atom



(13)
Material: SbRu2Rh
Method: DFT, GGA-PBE
State: relaxed

The structure in extended XYZ format:
```
4
Lattice="3.912 0.000 0.000 0.000 3.981 0.000 0.000 0.000 3.981" Properties=species:S:1:pos:R:3 pbc="T T T"
Sb 1.956 1.990 0.000
Ru 0.000 1.990 1.990
Rh 1.956 0.000 1.990
Ru 0.000 0.000 0.000
```

Properties
Calculated total energy: -7.402 eV per atom
Formation energy without anion corrections: 0.104 eV/atom
Volume: 15.50 A^3/atom



(14)
Material: SbRu4Rh
Method: DFT, GGA-PBE
State: relaxed

The structure in extended XYZ format:
```
6
Lattice="-3.351 -0.650 3.832 -0.599 3.671 3.535 -4.323 2.762 0.124" Properties=species:S:1:pos:R:3 pbc="T T T"
Ru -5.272 3.555 2.864
Sb -6.204 4.338 5.618
Ru -3.396 4.013 4.583
Rh 0.000 0.000 0.000
Ru -4.783 1.836 4.732
Ru -3.094 2.163 2.802
```

Properties
Calculated total energy: -7.509 eV per atom
Formation energy without anion corrections: 0.587 eV/atom
Volume: 15.93 A^3/atom



(15)
Material: SbRu2Rh
Method: DFT, GGA-PBE
State: relaxed

The structure in extended XYZ format:
```
4
Lattice="2.917 0.000 0.000 0.000 4.623 0.000 0.000 0.000 4.670" Properties=species:S:1:pos:R:3 pbc="T T T"
Sb 1.459 0.000 2.335
Rh 0.000 2.312 2.335
Ru 0.000 0.000 0.000
Ru 1.459 2.312 0.000
```

Properties
Calculated total energy: -7.255 eV per atom
Formation energy without anion corrections: 0.251 eV/atom
Volume: 15.75 A^3/atom



(16)
Material: SbRu2Rh
Method: DFT, GGA-PBE
State: relaxed

The structure in extended XYZ format:
```
4
Lattice="-2.581 1.378 -0.217 -0.406 -1.179 -2.655 -3.346 -5.781 3.078" Properties=species:S:1:pos:R:3 pbc="T T T"
Ru -2.279 -1.257 -0.714
Sb -1.682 -2.906 1.548
Ru -0.038 -0.066 0.035
Rh -4.007 -4.244 0.877
```

Properties
Calculated total energy: -7.304 eV per atom
Formation energy without anion corrections: 0.202 eV/atom
Volume: 15.82 A^3/atom



(17)
Material: SbRuRh2
Method: DFT, GGA-PBE
State: relaxed

The structure in extended XYZ format:
```
8
Lattice="-0.593 0.477 -3.793 -2.228 -3.161 -0.049 -8.768 3.815 -0.123" Properties=species:S:1:pos:R:3 pbc="T T T"
Rh -7.673 1.800 -1.534
Rh -9.006 0.567 -3.453
Sb 0.000 0.000 0.000
Rh -3.669 -0.954 -0.601
Ru -6.204 -0.344 -1.046
Ru -1.410 -1.342 -1.921
Rh -2.831 0.848 -2.341
Sb -5.386 1.475 -2.918
```

Properties
Calculated total energy: -6.705 eV per atom
Formation energy without anion corrections: 0.320 eV/atom
Volume: 17.14 A^3/atom



(18)
Material: SbRu2Rh
Method: DFT, GGA-PBE
State: relaxed

The structure in extended XYZ format:
```
4
Lattice="-0.481 -0.379 4.729 2.273 -1.113 4.041 1.498 4.315 1.390" Properties=species:S:1:pos:R:3 pbc="T T T"
Sb 1.626 1.362 5.057
Ru 1.478 4.240 1.393
Ru 2.509 2.245 7.649
Rh 0.820 0.702 2.533
```

Properties
Calculated total energy: -7.435 eV per atom
Formation energy without anion corrections: 0.072 eV/atom
Volume: 15.57 A^3/atom



(19)
Material: SbRuRh2
Method: DFT, GGA-PBE
State: relaxed

The structure in extended XYZ format:
```
4
Lattice="-2.620 2.514 3.895 0.294 -1.997 4.928 2.683 1.998 -4.143" Properties=species:S:1:pos:R:3 pbc="T T T"
Ru -1.112 0.247 4.220
Sb 0.909 0.129 2.593
Rh -0.054 0.012 0.204
Rh -0.548 2.384 2.074
```

Properties
Calculated total energy: -6.944 eV per atom
Formation energy without anion corrections: 0.081 eV/atom
Volume: 15.90 A^3/atom



(20)
Material: SbRu2Rh
Method: DFT, GGA-PBE
State: relaxed

The structure in extended XYZ format:
```
8
Lattice="-3.122 1.449 -4.559 -2.021 -5.333 -0.312 -6.888 -0.506 0.978" Properties=species:S:1:pos:R:3 pbc="T T T"
Sb 0.000 0.000 0.000
Ru -7.153 -1.991 -1.102
Ru -3.835 0.071 -2.512
Rh -2.571 -1.942 -2.435
Rh -5.740 -3.891 -0.885
Ru -9.607 -3.624 -3.519
Ru -3.466 -3.237 -0.652
Sb -6.291 -0.499 -3.008
```

Properties
Calculated total energy: -6.632 eV per atom
Formation energy without anion corrections: 0.875 eV/atom
Volume: 23.19 A^3/atom



(21)
Material: SbRuRh2
Method: DFT, GGA-PBE
State: relaxed

The structure in extended XYZ format:
```
4
Lattice="3.352 0.000 0.000 0.000 3.352 0.000 0.000 0.000 5.690" Properties=species:S:1:pos:R:3 pbc="T T T"
Sb 1.676 1.676 4.316
Rh 0.000 0.000 0.022
Rh 1.676 1.676 1.484
Ru 0.000 0.000 2.712
```

Properties
Calculated total energy: -6.888 eV per atom
Formation energy without anion corrections: 0.138 eV/atom
Volume: 15.99 A^3/atom



(22)
Material: SbRu2Rh
Method: DFT, GGA-PBE
State: relaxed

The structure in extended XYZ format:
```
4
Lattice="4.778 -0.002 0.000 1.442 4.556 0.000 -3.110 -2.277 2.824" Properties=species:S:1:pos:R:3 pbc="T T T"
Rh 2.389 -0.001 1.412
Ru 0.000 0.000 0.000
Sb 3.110 2.277 0.000
Ru 0.721 2.278 1.412
```

Properties
Calculated total energy: -7.514 eV per atom
Formation energy without anion corrections: -0.008 eV/atom
Volume: 15.37 A^3/atom



(23)
Material: ScSbRu2Rh
Method: DFT, GGA-PBE
State: relaxed

The structure in extended XYZ format:
```
5
Lattice="4.527 0.000 0.000 0.000 5.166 0.000 0.000 0.000 4.527" Properties=species:S:1:pos:R:3 pbc="T T T"
Sb 0.000 2.583 0.000
Sc 0.000 0.000 0.000
Ru 0.000 0.000 2.264
Ru 2.264 0.000 0.000
Rh 2.264 2.583 2.264
```

Properties
Calculated total energy: -5.844 eV per atom
Formation energy without anion corrections: 1.428 eV/atom
Volume: 21.18 A^3/atom



(24)
Material: ScSbRuRh
Method: DFT, GGA-PBE
State: relaxed

The structure in extended XYZ format:
```
4
Lattice="4.550 0.000 0.000 2.275 3.940 0.000 2.275 1.313 3.715" Properties=species:S:1:pos:R:3 pbc="T T T"
Sb 4.550 2.627 1.857
Sc 0.000 0.000 0.000
Rh 6.824 3.940 2.786
Ru 2.275 1.313 0.929
```

Properties
Calculated total energy: -7.418 eV per atom
Formation energy without anion corrections: -0.648 eV/atom
Volume: 16.65 A^3/atom



(25)
Material: SrSb2RuRh
Method: DFT, GGA-PBE
State: relaxed

The structure in extended XYZ format:
```
5
Lattice="4.411 0.000 0.000 0.000 4.411 0.000 -2.205 -2.205 5.937" Properties=species:S:1:pos:R:3 pbc="T T T"
Sb 0.000 0.000 4.364
Rh 2.205 0.000 2.969
Sr 0.000 0.000 0.000
Sb 2.205 2.205 1.573
Ru 0.000 2.205 2.969
```

Properties
Calculated total energy: -5.866 eV per atom
Formation energy without anion corrections: -0.555 eV/atom
Volume: 23.10 A^3/atom



(26)
Material: TmSbRuRh
Method: DFT, GGA-PBE
State: relaxed

The structure in extended XYZ format:
```
4
Lattice="4.652 0.000 0.000 2.326 4.029 0.000 2.326 1.343 3.798" Properties=species:S:1:pos:R:3 pbc="T T T"
Rh 2.326 1.343 0.950
Ru 6.978 4.029 2.849
Tm 4.652 2.686 1.899
Sb 0.000 0.000 0.000
```

Properties
Calculated total energy: -6.887 eV per atom
Formation energy without anion corrections: -0.582 eV/atom
Volume: 17.80 A^3/atom



(27)
Material: ZnSbRuRh
Method: DFT, GGA-PBE
State: relaxed

The structure in extended XYZ format:
```
4
Lattice="-2.645 -2.867 2.106 1.559 -2.357 3.416 -1.389 0.878 4.117" Properties=species:S:1:pos:R:3 pbc="T T T"
Rh -0.619 -1.086 2.410
Zn 0.000 0.000 0.000
Sb -1.238 -2.173 4.819
Ru -1.856 -3.259 7.229
```

Properties
Calculated total energy: -5.762 eV per atom
Formation energy without anion corrections: -0.256 eV/atom
Volume: 15.40 A^3/atom



(28)
Material: ZrSbRuRh
Method: DFT, GGA-PBE
State: relaxed

The structure in extended XYZ format:
```
4
Lattice="-3.243 1.077 -3.104 0.193 -1.783 -4.254 -3.083 -3.175 -1.314" Properties=species:S:1:pos:R:3 pbc="T T T"
Ru -4.599 -2.911 -6.504
Sb -3.066 -1.940 -4.336
Rh -1.533 -0.970 -2.168
Zr 0.000 0.000 0.000
```

Properties
Calculated total energy: -7.802 eV per atom
Formation energy without anion corrections: -0.477 eV/atom
Volume: 17.39 A^3/atom



(29)
Material: ScRuRh2
Method: DFT, GGA-PBE
State: relaxed

The structure in extended XYZ format:
```
4
Lattice="-3.623 -2.294 1.257 -1.196 -0.105 4.304 -3.662 2.173 1.355" Properties=species:S:1:pos:R:3 pbc="T T T"
Sc 0.000 0.000 0.000
Ru -4.241 -0.113 3.458
Rh -6.361 -0.170 5.187
Rh -2.120 -0.057 1.729
```

Properties
Calculated total energy: -7.805 eV per atom
Volume: 15.77 A^3/atom